DFT (GGA-PBE) results for Be2ReW2 after structural relaxation.

The structure in POSCAR format:
```
Be2ReW2
1.0
6.194 0.000 0.000
0.000 6.194 0.000
0.000 0.000 3.204
Be W Re
4 4 2
Cartesian
0.744 2.353 0.000
2.353 5.450 0.000
3.841 0.744 0.000
5.450 3.841 0.000
1.074 4.170 1.602
5.120 2.023 1.602
4.170 5.120 1.602
2.023 1.074 1.602
3.097 3.097 0.000
0.000 0.000 0.000
```

Results
VASP energy = -9.359 eV per atom
ΔH_f (0 K) = -197.7 meV/atom
space group = P4/mbm, No. 127

DFT (GGA-PBE) results for BeReW after structural relaxation.

The structure in POSCAR format:
```
BeReW
1.0
-4.766 -2.750 -0.728
-2.041 -4.065 -3.181
3.960 2.092 3.278
Be Re W
1 1 1
Cartesian
-6.774 -6.783 -3.890
-2.416 -2.419 -1.387
-4.424 -4.430 -2.540
```

Results
VASP energy = -9.467 eV per atom
ΔH_f (0 K) = 241.7 meV/atom
space group = I4mm, No. 107

DFT (GGA-PBE) results for Be2ReW after structural relaxation.

The structure in POSCAR format:
```
Be2ReW
1.0
-3.551 -1.005 2.785
0.933 -3.314 3.085
2.101 3.910 -1.294
Be Re W
2 1 1
Cartesian
0.862 -0.782 2.363
0.000 0.000 0.000
-1.309 -2.160 2.935
-1.380 0.373 2.213
```

Results
VASP energy = -8.106 eV per atom
ΔH_f (0 K) = 107.8 meV/atom
space group = I-4m2, No. 119

DFT (GGA-PBE) results for Be2ReW2 after structural relaxation.

The structure in POSCAR format:
```
Be2ReW2
1.0
2.974 0.000 0.000
0.000 2.974 0.000
1.487 1.487 7.605
Re Be W
1 2 2
Cartesian
0.000 0.000 0.000
1.487 2.974 3.803
2.974 1.487 3.803
2.974 2.974 5.906
1.487 1.487 1.699
```

Results
VASP energy = -8.787 eV per atom
ΔH_f (0 K) = 374.5 meV/atom
space group = I4/mmm, No. 139

DFT (GGA-PBE) results for Be3ReW after structural relaxation.

The structure in POSCAR format:
```
Be3ReW
1.0
4.061 0.000 0.000
0.000 4.061 0.000
0.000 0.000 4.061
Be W Re
3 1 1
Cartesian
0.000 2.031 0.000
2.031 0.000 0.000
0.000 0.000 2.031
2.031 2.031 2.031
0.000 0.000 0.000
```

Results
VASP energy = -6.004 eV per atom
ΔH_f (0 K) = 1312.4 meV/atom
space group = Pm-3m, No. 221

DFT (GGA-PBE) results for Be2ReW after structural relaxation.

The structure in POSCAR format:
```
Be2ReW
1.0
0.000 2.865 2.865
2.865 0.000 2.865
2.865 2.865 0.000
Be W Re
2 1 1
Cartesian
1.432 1.432 1.432
4.297 4.297 4.297
0.000 0.000 0.000
2.865 2.865 2.865
```

Results
VASP energy = -8.004 eV per atom
ΔH_f (0 K) = 209.4 meV/atom
space group = Fm-3m, No. 225

What is the ΔH_f (0 K) in the second record?
241.7 meV/atom

Among the records above, which one has the highest VASP energy?
Be3ReW

Look up the ΔH_f (0 K) of the fourth one.
374.5 meV/atom

Look up the ΔH_f (0 K) of the second one.
241.7 meV/atom